# Sm2YPuP4, optimized geometry, DFT PBE
# DFT formation energy = -1.4706 eV per atom
# N(E_F) = 12.0 states/eV per cell
# Raw total energy = -7.95 eV/atom
data_Sm2YPuP4
_chemical_formula_sum 'Sm2 Y1 Pu1 P4'
_cell_length_a 4.060
_cell_length_b 7.007
_cell_length_c 7.015
_cell_angle_alpha 109.48
_cell_angle_beta 90.00
_cell_angle_gamma 90.00
_space_group_name_H-M_alt 'P 1'
_space_group_IT_number 1
loop_
_space_group_symop_operation_xyz
'x,y,z'
loop_
_atom_site_label
_atom_site_type_symbol
_atom_site_fract_x
_atom_site_fract_y
_atom_site_fract_z
Sm1 Sm 0.500 0.000 0.500
Sm2 Sm 0.000 0.500 0.500
Y1 Y 0.500 0.500 0.000
Pu1 Pu 0.000 0.000 0.000
P1 P 0.500 0.244 0.240
P2 P 0.500 0.756 0.760
P3 P 0.000 0.250 0.758
P4 P 0.000 0.750 0.242